First-principles (PBE) data for a geometry-optimized KThSn structure, as listed in the Alexandria database.

Results
- magnetic moment (μB per formula unit) = 0.9
- ΔH_f (0 K) (kcal/mol of atoms) = -0.1

Structure (CIF):
```
data_KThSn
_cell_length_a 5.0265
_cell_length_b 5.0265
_cell_length_c 39.0247
_cell_angle_alpha 90.00
_cell_angle_beta 90.00
_cell_angle_gamma 120.00
_space_group_name_H-M_alt 'R -3 m'
_space_group_IT_number 166
_space_group_name_Hall '-R 3 2"'
loop_
_atom_site_label
_atom_site_type_symbol
_atom_site_fract_x
_atom_site_fract_y
_atom_site_fract_z
K1 K 0.0000 0.0000 0.1121
Th1 Th 0.0000 0.0000 0.3055
Sn1 Sn 0.0000 0.0000 0.3928
```

First-principles (PBE) data for a geometry-optimized K2TiSn structure, as listed in the Alexandria database.

Results
- magnetic moment (μB per formula unit) = 2.0
- ΔH_f (0 K) (kcal/mol of atoms) = 11.6

Structure (CIF):
```
data_K2TiSn
_cell_length_a 13.055
_cell_length_b 13.055
_cell_length_c 5.439
_cell_angle_alpha 90.00
_cell_angle_beta 90.00
_cell_angle_gamma 90.00
_space_group_name_H-M_alt 'I -4 2 d'
_space_group_IT_number 122
_space_group_name_Hall 'I -4 2bw'
loop_
_atom_site_label
_atom_site_type_symbol
_atom_site_fract_x
_atom_site_fract_y
_atom_site_fract_z
K1 K 0.079 0.250 0.125
Ti1 Ti 0.000 0.000 0.500
Sn1 Sn 0.000 0.000 0.000
```